1.
{
  "formula": "CoRu2Br",
  "functional": "PBE",
  "state": "optimized geometry",
  "volume_a3_per_cell": 159.1,
  "raw_formation_energy_ev_per_atom": 1.176,
  "e_above_lowest_polymorph_mev_per_atom": 630.1,
  "n_ef_per_ev_cell": 7.8,
  "cell": [[-2.662, 2.662, 5.612], [2.662, -2.662, 5.612], [2.662, 2.662, -5.612]],
  "species": ["Co", "Co", "Ru", "Ru", "Ru", "Ru", "Br", "Br"],
  "frac_coords": [[0.000, 0.000, 0.000], [0.750, 0.250, 0.500], [0.093, 0.625, 0.968], [0.375, 0.343, 0.468], [0.657, 0.125, 0.032], [0.875, 0.907, 0.532], [0.250, 0.750, 0.500], [0.500, 0.500, 0.000]]
}

2.
{
  "formula": "Ho4ThTl2",
  "functional": "PBE",
  "state": "optimized geometry",
  "volume_a3_per_cell": 215.6,
  "e_above_lowest_polymorph_mev_per_atom": 0.0,
  "n_ef_per_ev_cell": 9.9,
  "formation_energy_ev_per_atom": -0.04,
  "cell": [[4.367, -5.150, 0.000], [4.367, 5.150, 0.000], [0.000, 0.000, 4.792]],
  "species": ["Ho", "Ho", "Ho", "Ho", "Th", "Tl", "Tl"],
  "frac_coords": [[0.000, 0.500, 0.500], [0.206, 0.206, 0.000], [0.500, 0.000, 0.500], [0.794, 0.794, 0.000], [0.500, 0.500, 0.500], [0.270, 0.730, 0.000], [0.730, 0.270, 0.000]]
}

3.
{
  "formula": "La2HgPd8",
  "functional": "PBE",
  "state": "optimized geometry",
  "volume_a3_per_cell": 210.5,
  "n_ef_per_ev_cell": 3.6,
  "formation_energy_ev_per_atom": -0.52,
  "cell": [[6.586, -2.368, 0.000], [6.586, 2.368, 0.000], [-4.384, 0.000, 6.750]],
  "species": ["La", "La", "Hg", "Pd", "Pd", "Pd", "Pd", "Pd", "Pd", "Pd", "Pd"],
  "frac_coords": [[0.177, 0.177, 0.152], [0.823, 0.823, 0.848], [0.500, 0.500, 0.500], [0.060, 0.060, 0.369], [0.178, 0.178, 0.783], [0.318, 0.318, 0.606], [0.434, 0.434, 0.105], [0.566, 0.566, 0.895], [0.682, 0.682, 0.394], [0.822, 0.822, 0.217], [0.940, 0.940, 0.631]]
}

4.
{
  "formula": "SiIrOs2",
  "functional": "PBE",
  "state": "optimized geometry",
  "volume_a3_per_cell": 55.8,
  "raw_formation_energy_ev_per_atom": 0.087,
  "n_ef_per_ev_cell": 2.7,
  "cell": [[-1.926, 1.926, 3.762], [1.926, -1.926, 3.762], [1.926, 1.926, -3.762]],
  "species": ["Si", "Ir", "Os", "Os"],
  "frac_coords": [[0.000, 0.000, 0.000], [0.500, 0.500, 0.000], [0.250, 0.750, 0.500], [0.750, 0.250, 0.500]]
}

5.
{
  "formula": "Tc6Pd",
  "functional": "PBE",
  "state": "optimized geometry",
  "volume_a3_per_cell": 221.5,
  "n_ef_per_ev_cell": 17.2,
  "formation_energy_ev_per_atom": 0.37,
  "cell": [[5.240, 0.000, 0.000], [0.000, 5.240, 0.000], [0.000, 0.000, 8.065]],
  "species": ["Tc", "Tc", "Tc", "Tc", "Tc", "Tc", "Tc", "Tc", "Tc", "Tc", "Tc", "Tc", "Pd", "Pd"],
  "frac_coords": [[0.076, 0.576, 0.140], [0.076, 0.924, 0.860], [0.250, 0.250, 0.351], [0.250, 0.250, 0.649], [0.424, 0.576, 0.860], [0.424, 0.924, 0.140], [0.576, 0.076, 0.860], [0.576, 0.424, 0.140], [0.750, 0.750, 0.351], [0.750, 0.750, 0.649], [0.924, 0.076, 0.140], [0.924, 0.424, 0.860], [0.250, 0.750, 0.500], [0.750, 0.250, 0.500]]
}

6.
{
  "formula": "GdTmBr",
  "functional": "PBE",
  "state": "optimized geometry",
  "volume_a3_per_cell": 86.3,
  "raw_formation_energy_ev_per_atom": -0.734,
  "n_ef_per_ev_cell": 2.9,
  "cell": [[3.706, 0.000, 0.000], [-1.853, 3.210, 0.000], [0.000, 0.000, 7.258]],
  "species": ["Gd", "Tm", "Br"],
  "frac_coords": [[0.000, 0.000, 0.000], [0.667, 0.333, 0.362], [0.333, 0.667, 0.675]]
}

Per-record total magnetization, μB per cell: 4.1; 0.0; 0.0; 0.0; 0.0; 7.5